A geometry-optimized Ta2Cu3 structure, computed with PBE.

Formation energy from the elements, eV/atom: 0.539
Density of states at the Fermi level, states/eV/atom: 0.90
Relative energy among the computed polymorphs, meV/atom: 347.8
Total moment, μB/f.u.: 0.00
Raw total energy, eV per cell: -33.30

Cell and atoms, written as extended XYZ:
```
5
Lattice="2.121 -3.673 0.000 2.121 3.673 0.000 0.000 0.000 5.413" Properties=species:S:1:pos:R:3 pbc="T T T"
Cu 2.121 -1.224 3.438
Cu 2.121 1.224 1.975
Cu 0.000 0.000 0.000
Ta 2.121 1.224 4.576
Ta 2.121 -1.224 0.837
```



A geometry-optimized Er5Tm2Sn4 structure, computed with PBE.

Formation energy from the elements, eV/atom: -0.366
Density of states at the Fermi level, states/eV/atom: 1.04
Total moment, μB/f.u.: 0.00
Raw total energy, eV per cell: -51.79

Cell and atoms, written as extended XYZ:
```
11
Lattice="4.288 0.000 0.000 0.000 7.492 -1.030 -2.144 -3.777 10.788" Properties=species:S:1:pos:R:3 pbc="T T T"
Tm 2.144 3.456 1.035
Tm 0.000 0.259 8.723
Er 0.000 5.369 2.929
Er 2.144 -1.654 6.830
Er 2.144 2.401 7.035
Er 0.000 1.315 2.723
Er 2.144 0.000 0.000
Sn 2.144 3.324 4.039
Sn 2.144 -1.799 9.910
Sn 0.000 0.392 5.719
Sn 0.000 5.514 -0.152
```



A geometry-optimized CrCoCu2 structure, computed with PBE.

Formation energy from the elements, eV/atom: 0.161
Density of states at the Fermi level, states/eV/atom: 0.98
Total moment, μB/f.u.: 0.65
Raw total energy, eV per cell: -24.28

Cell and atoms, written as extended XYZ:
```
4
Lattice="2.517 0.000 0.000 0.000 2.517 0.000 0.000 0.000 7.262" Properties=species:S:1:pos:R:3 pbc="T T T"
Co 0.000 0.000 3.700
Cr 1.259 1.259 5.325
Cu 1.259 1.259 1.864
Cu 0.000 0.000 0.003
```



A geometry-optimized KCu2Ir structure, computed with PBE.

Formation energy from the elements, eV/atom: 0.331
Density of states at the Fermi level, states/eV/atom: 1.50
Relative energy among the computed polymorphs, meV/atom: 0.0
Total moment, μB/f.u.: 0.22
Raw total energy, eV per cell: -16.83

Cell and atoms, written as extended XYZ:
```
4
Lattice="-2.192 2.758 2.413 -1.281 -1.137 3.910 3.745 2.560 4.325" Properties=species:S:1:pos:R:3 pbc="T T T"
K 0.069 1.045 2.662
Cu 1.146 2.507 5.781
Cu 2.737 2.143 3.869
Ir 0.205 3.135 7.986
```



> Look up the total moment of the first one.

0.00 μB/f.u.



What did the third record say?
A geometry-optimized CrCoCu2 structure, computed with PBE.

Formation energy from the elements, eV/atom: 0.161
Density of states at the Fermi level, states/eV/atom: 0.98
Total moment, μB/f.u.: 0.65
Raw total energy, eV per cell: -24.28

Cell and atoms, written as extended XYZ:
```
4
Lattice="2.517 0.000 0.000 0.000 2.517 0.000 0.000 0.000 7.262" Properties=species:S:1:pos:R:3 pbc="T T T"
Co 0.000 0.000 3.700
Cr 1.259 1.259 5.325
Cu 1.259 1.259 1.864
Cu 0.000 0.000 0.003
```



> What is the formula in the third record?

CrCoCu2